1.
VASP calculation (PBE) on BaSeSN2 after structural relaxation.

```
BaSeSN2
1.0
4.3841 0.0000 0.0000
0.0000 4.3841 0.0000
0.0000 0.0000 4.8527
S N Se Ba
1 2 1 1
direct
0.0000 0.0000 0.0000
0.5000 0.0000 0.0000
0.0000 0.5000 0.0000
0.0000 0.0000 0.5000
0.5000 0.5000 0.5000
```

Summary:
Energy relative to the elements, uncorrected (kJ per mole of atoms): 83
Distance to the lowest polymorph of the same formula (meV per atom): 257
Space-group type: No. 123
Total DFT energy (no corrections) (eV per atom): -4.38
Fermi-level density of states (states/eV/atom): 0.586
Spin magnetization (μB/atom): 0.46

***

2.
VASP calculation (PBE) on BaSeS2N after structural relaxation.

```
BaSeS2N
1.0
-2.7715 3.5874 -2.4311
-1.5965 -3.5281 -3.3860
-3.1695 -0.8416 2.3714
S Ba N Se
2 1 1 1
direct
0.5000 0.0000 0.0000
0.0000 0.5000 0.0000
0.5000 0.5000 0.5000
0.0000 0.0000 0.5000
0.0000 0.0000 0.0000
```

Summary:
Energy relative to the elements, uncorrected (kJ per mole of atoms): -5
Distance to the lowest polymorph of the same formula (meV per atom): 0
Space-group type: No. 123
Total DFT energy (no corrections) (eV per atom): -4.44
Fermi-level density of states (states/eV/atom): 0.403
Spin magnetization (μB/atom): 0.20

***

3.
VASP calculation (PBE) on Ba2SeSN after structural relaxation.

```
Ba2SeSN
1.0
6.0970 0.0000 0.0000
0.0000 4.8612 0.0000
0.0000 0.0000 6.0970
Ba N Se S
2 1 1 1
direct
0.0000 0.0000 0.5000
0.5000 0.0000 0.0000
0.5000 0.5000 0.5000
0.0000 0.0000 0.0000
0.0000 0.5000 0.0000
```

Summary:
Energy relative to the elements, uncorrected (kJ per mole of atoms): 3
Space-group type: No. 123
Total DFT energy (no corrections) (eV per atom): -3.92
Fermi-level density of states (states/eV/atom): 0.890
Spin magnetization (μB/atom): 0.26

***

4.
VASP calculation (PBE) on BaSiS2N after structural relaxation.

```
BaSiS2N
1.0
5.1062 0.0000 0.0000
0.0000 5.1062 0.0000
0.0000 0.0000 3.5486
Si Ba S N
1 1 2 1
direct
0.0000 0.0000 0.0000
0.5000 0.5000 0.5000
0.5000 0.0000 0.0000
0.0000 0.5000 0.0000
0.0000 0.0000 0.5000
```

Summary:
Energy relative to the elements, uncorrected (kJ per mole of atoms): -54
Distance to the lowest polymorph of the same formula (meV per atom): 0
Space-group type: No. 123
Total DFT energy (no corrections) (eV per atom): -5.34
Fermi-level density of states (states/eV/atom): 0.950
Spin magnetization (μB/atom): 0.00

***

5.
VASP calculation (PBE) on BaSiSN2 after structural relaxation.

```
BaSiSN2
1.0
4.5188 0.0000 0.0000
0.0000 4.5188 0.0000
0.0000 0.0000 6.3020
N S Ba Si
2 1 1 1
direct
0.0000 0.5000 0.0000
0.5000 0.0000 0.0000
0.0000 0.0000 0.5000
0.0000 0.0000 0.0000
0.5000 0.5000 0.5000
```

Summary:
Energy relative to the elements, uncorrected (kJ per mole of atoms): 181
Distance to the lowest polymorph of the same formula (meV per atom): 1858
Space-group type: No. 123
Total DFT energy (no corrections) (eV per atom): -3.74
Fermi-level density of states (states/eV/atom): 0.640
Spin magnetization (μB/atom): 0.46

***

6.
VASP calculation (PBE) on BaSiS2N after structural relaxation.

```
BaSiS2N
1.0
-2.5787 -0.8789 5.1641
5.2359 -0.6081 2.5110
0.1384 4.9702 0.9151
S N Ba Si
2 1 1 1
direct
0.5000 0.0000 0.0000
0.0000 0.5000 0.0000
0.0000 0.0000 0.5000
0.0000 0.0000 0.0000
0.5000 0.5000 0.5000
```

Summary:
Energy relative to the elements, uncorrected (kJ per mole of atoms): 127
Distance to the lowest polymorph of the same formula (meV per atom): 1875
Space-group type: No. 123
Total DFT energy (no corrections) (eV per atom): -3.47
Fermi-level density of states (states/eV/atom): 0.605
Spin magnetization (μB/atom): 0.52

***

7.
VASP calculation (PBE) on BaSiSN2 after structural relaxation.

```
BaSiSN2
1.0
-3.5375 0.4282 -1.8615
0.3880 -3.6751 -1.5828
-2.2069 -1.8554 3.7672
Si S Ba N
1 1 1 2
direct
0.0000 0.0000 0.0000
0.0000 0.0000 0.5000
0.5000 0.5000 0.5000
0.0000 0.5000 0.0000
0.5000 0.0000 0.0000
```

Summary:
Energy relative to the elements, uncorrected (kJ per mole of atoms): 2
Distance to the lowest polymorph of the same formula (meV per atom): 0
Space-group type: No. 123
Total DFT energy (no corrections) (eV per atom): -5.60
Fermi-level density of states (states/eV/atom): 0.461
Spin magnetization (μB/atom): 0.27

***

8.
VASP calculation (PBE) on BaSnS2N after structural relaxation.

```
BaSnS2N
1.0
5.7751 0.0000 0.0000
0.0000 5.7751 0.0000
0.0000 0.0000 4.7064
S N Sn Ba
2 1 1 1
direct
0.0000 0.5000 0.0000
0.5000 0.0000 0.0000
0.0000 0.0000 0.5000
0.5000 0.5000 0.5000
0.0000 0.0000 0.0000
```

Summary:
Energy relative to the elements, uncorrected (kJ per mole of atoms): 76
Distance to the lowest polymorph of the same formula (meV per atom): 1218
Space-group type: No. 123
Total DFT energy (no corrections) (eV per atom): -3.71
Fermi-level density of states (states/eV/atom): 0.560
Spin magnetization (μB/atom): 0.32